(1)
## K2HoMnSe4 (PBE)

Data for K2HoMnSe4 after structural relaxation.

a b c (Å): 7.1774 3.9912 8.0839
angles (deg): 90.00 108.37 90.00
Space group P2/m (No. 10)
Asymmetric unit:
1 K 0.0000 0.0000 0.0000 x1
2 K 0.5000 0.5000 0.0000 x1
3 Ho 0.0000 0.5000 0.5000 x1
4 Mn 0.5000 0.0000 0.5000 x1
5 Se 0.2324 0.0000 0.7130 x2
6 Se 0.3002 0.5000 0.3240 x2

E_form (uncorrected) in kJ/mol of formula units: -926
Electronic total energy in eV per atom: -4.934

---

(2)
## K3Ho3MnSe8 (PBE)

Data for K3Ho3MnSe8 after structural relaxation.

a b c (Å): 8.1366 8.1366 23.5070
angles (deg): 90.00 90.00 120.00
Space group R-3m (No. 166, hexagonal axes)
Asymmetric unit:
1 K 0.0000 0.5000 0.0000 x9
2 Ho 0.0000 0.5000 0.5000 x9
3 Mn 0.0000 0.0000 0.5000 x3
4 Se 0.0000 0.0000 0.2351 x6
5 Se 0.0306 0.5153 0.2294 x18

E_form (uncorrected) in kJ/mol of formula units: -2080
Electronic total energy in eV per atom: -5.042

---

(3)
## KHoMnSe3 (PBE)

Data for KHoMnSe3 after structural relaxation.

a b c (Å): 9.0409 4.2058 9.8706
angles (deg): 90.00 107.59 90.00
Space group P2_1/m (No. 11)
Asymmetric unit:
1 K 0.2066 0.2500 0.2322 x2
2 Ho 0.3327 0.7500 0.8605 x2
3 Mn 0.0864 0.2500 0.6091 x2
4 Se 0.1127 0.2500 0.8641 x2
5 Se 0.2090 0.7500 0.5382 x2
6 Se 0.4611 0.7500 0.1587 x2

E_form (uncorrected) in kJ/mol of formula units: -749
Electronic total energy in eV per atom: -5.510

---

(4)
## K3Ho3MnTe8 (PBE)

Data for K3Ho3MnTe8 after structural relaxation.

a b c (Å): 8.6885 8.6885 25.3626
angles (deg): 90.00 90.00 120.00
Space group R-3m (No. 166, hexagonal axes)
Asymmetric unit:
1 K 0.0000 0.5000 0.0000 x9
2 Ho 0.0000 0.5000 0.5000 x9
3 Mn 0.0000 0.0000 0.5000 x3
4 Te 0.0000 0.0000 0.2364 x6
5 Te 0.0272 0.5136 0.2308 x18

E_form (uncorrected) in kJ/mol of formula units: -1570
Electronic total energy in eV per atom: -4.506

---

(5)
## K2HoMnTe4 (PBE)

Data for K2HoMnTe4 after structural relaxation.

a b c (Å): 8.9226 9.1142 13.2218
angles (deg): 90.00 90.00 90.00
Space group Imma (No. 74)
Asymmetric unit:
1 K 0.0000 0.0000 0.0000 x4
2 K 0.2500 0.2500 0.2500 x4
3 Ho 0.0000 0.0000 0.5000 x4
4 Mn 0.2500 0.2500 0.7500 x4
5 Te 0.0000 0.0570 0.7383 x8
6 Te 0.2273 0.2500 0.5093 x8

E_form (uncorrected) in kJ/mol of formula units: -664
Electronic total energy in eV per atom: -4.424

---

(6)
## K4Ho3MnTe8 (PBE)

Data for K4Ho3MnTe8 after structural relaxation.

a b c (Å): 8.8280 8.8280 24.7182
angles (deg): 90.00 90.00 120.00
Space group R-3m (No. 166, hexagonal axes)
Asymmetric unit:
1 K 0.0000 0.0000 0.0000 x3
2 K 0.0000 0.5000 0.0000 x9
3 Ho 0.0000 0.5000 0.5000 x9
4 Mn 0.0000 0.0000 0.5000 x3
5 Te 0.0000 0.0000 0.2368 x6
6 Te 0.0160 0.5080 0.2331 x18

E_form (uncorrected) in kJ/mol of formula units: -1754
Electronic total energy in eV per atom: -4.413